No. 1
Ni2P2O | Alexandria via LeMat-Bulk | SCAN | single point on PBEsol structure; energy = -11.59 eV per atom; space group = I4/mmm (139); E_form (uncorrected) = 281.1 meV per atom
1.0
-1.316 3.093 0.394
-2.240 -0.640 -2.454
-1.553 -3.093 4.557
P Ni O
2 2 1
Direct
0.750 0.250 0.500
0.250 0.750 0.500
0.389 0.389 0.779
0.611 0.611 0.221
0.000 0.000 0.000



No. 2
Ni3P4PbO14 | Alexandria via LeMat-Bulk | SCAN | single point on PBEsol structure; energy = -13.64 eV per atom; space group = P2_1/c (14); E_form (uncorrected) = -2135.4 meV per atom
1.0
-3.729 -6.376 0.401
5.509 -3.474 -4.015
5.953 1.112 7.207
Ni O P Pb
6 28 8 2
Direct
0.817 0.374 0.975
0.000 0.000 0.000
0.817 0.126 0.475
0.183 0.874 0.525
0.000 0.500 0.500
0.183 0.626 0.025
0.625 0.178 0.579
0.998 0.211 0.131
0.025 0.072 0.387
0.681 0.869 0.679
0.625 0.322 0.079
0.998 0.289 0.631
0.975 0.572 0.113
0.151 0.121 0.889
0.375 0.822 0.421
0.002 0.789 0.869
0.396 0.022 0.691
0.604 0.522 0.809
0.604 0.978 0.309
0.734 0.120 0.865
0.975 0.928 0.613
0.025 0.428 0.887
0.266 0.620 0.635
0.375 0.678 0.921
0.266 0.880 0.135
0.849 0.621 0.611
0.734 0.380 0.365
0.319 0.131 0.321
0.396 0.478 0.191
0.681 0.631 0.179
0.151 0.379 0.389
0.319 0.369 0.821
0.849 0.879 0.111
0.002 0.711 0.369
0.603 0.442 0.200
0.891 0.796 0.694
0.603 0.058 0.700
0.891 0.704 0.194
0.397 0.558 0.800
0.109 0.296 0.806
0.109 0.204 0.306
0.397 0.942 0.300
0.500 0.000 0.000
0.500 0.500 0.500



No. 3
NiP2RhO | Alexandria via LeMat-Bulk | SCAN | single point on PBEsol structure; energy = -15.13 eV per atom; space group = P4/mmm (123); E_form (uncorrected) = 261.2 meV per atom
1.0
-0.386 -0.572 3.233
-0.741 -4.335 -0.855
4.388 -0.824 0.378
Rh Ni P O
1 1 2 1
Direct
0.500 0.500 0.500
0.000 0.000 0.000
0.000 0.500 0.000
0.000 0.000 0.500
0.500 0.000 0.000